1.
The following is a DFT calculation (PBE) of an optimized crystal structure of CeTh3Pt4.

The calculation puts the density at 12.9 g/cm3. The energy of formation from the pure elements comes out at -1159 meV/atom. As for the total energy: -7.704 eV/atom.

It has space group P2/c (No. 13), with a = 7.1810 Å, b = 8.5214 Å, c = 7.2470 Å, α = 90.00°, β = 110.18° and γ = 90.00°. The distinct sites, in fractional coordinates, are Ce at (0.0000, 0.1246, 0.2500), Th at (0.0000, 0.3746, 0.7500), Th at (0.5000, 0.1245, 0.7500), Th at (0.5000, 0.3745, 0.2500), Pt at (0.2504, 0.3760, 0.5010) and Pt at (0.2517, 0.1260, 0.9996).

2.
The following is a DFT calculation (PBE) of an optimized crystal structure of La3TbDy6Y2.

The calculation puts the density at 7.3 g/cm3. The energy of formation from the pure elements comes out at 22 meV/atom. As for the total energy: -4.974 eV/atom.

It has space group C2/m (No. 12), with a = 6.2410 Å, b = 10.8136 Å, c = 11.9024 Å, α = 90.00°, β = 100.07° and γ = 90.00°. The distinct sites, in fractional coordinates, are La at (0.0000, 0.0000, 0.0000), La at (0.0000, 0.3331, 0.0000), Tb at (0.0000, 0.5000, 0.5000), Dy at (0.2477, 0.3336, 0.7450), Dy at (0.2486, 0.0000, 0.7452) and Y at (0.0000, 0.1666, 0.5000).

3.
The following is a DFT calculation (PBE) of an optimized crystal structure of Pr2Nd2DyMg.

The calculation puts the density at 6.2 g/cm3. The energy of formation from the pure elements comes out at 179 meV/atom. As for the total energy: -4.036 eV/atom.

It has space group Ibam (No. 72), with a = 6.8830 Å, b = 18.2101 Å, c = 6.5037 Å, α = 90.00°, β = 90.00° and γ = 90.00°. The distinct sites, in fractional coordinates, are Pr at (0.1535, 0.1523, 0.0000), Nd at (0.1578, 0.3481, 0.0000), Dy at (0.0000, 0.5000, 0.2500) and Mg at (0.0000, 0.0000, 0.2500).

4.
The following is a DFT calculation (PBE) of an optimized crystal structure of IrOs2W2.

The calculation puts the density at 19.7 g/cm3. The energy of formation from the pure elements comes out at 225 meV/atom. As for the total energy: -11.220 eV/atom.

It has space group P4/mbm (No. 127), with a = 7.3765 Å, b = 7.3765 Å, c = 2.9092 Å, α = 90.00°, β = 90.00° and γ = 90.00°. The distinct sites, in fractional coordinates, are Ir at (0.0000, 0.0000, 0.0000), Os at (0.1320, 0.3680, 0.0000) and W at (0.1673, 0.6673, 0.5000).

5.
The following is a DFT calculation (PBE) of an optimized crystal structure of Ac2LaPb3.

The value obtained for the energy above the most stable polymorph in this dataset is 0.0 meV/atom. The calculation puts the density at 9.7 g/cm3. The energy of formation from the pure elements comes out at -498 meV/atom. As for the total energy: -4.543 eV/atom.

It has space group Cmmm (No. 65), with a = 6.1186 Å, b = 18.4089 Å, c = 7.3703 Å, α = 90.00°, β = 90.00° and γ = 90.00°. The distinct sites, in fractional coordinates, are Ac at (0.0000, 0.0000, 0.0000), Ac at (0.0000, 0.0000, 0.5000), Ac at (0.0000, 0.3338, 0.0000), La at (0.0000, 0.3334, 0.5000), Pb at (0.0000, 0.1686, 0.2629) and Pb at (0.0000, 0.5000, 0.2583).

6.
The following is a DFT calculation (PBE) of an optimized crystal structure of LaAg2Pt2.

The value obtained for the energy above the most stable polymorph in this dataset is 192.1 meV/atom. The calculation puts the density at 12.0 g/cm3. The energy of formation from the pure elements comes out at -366 meV/atom. As for the total energy: -4.908 eV/atom.

It has space group P4/mbm (No. 127), with a = 7.3953 Å, b = 7.3953 Å, c = 3.7626 Å, α = 90.00°, β = 90.00° and γ = 90.00°. The distinct sites, in fractional coordinates, are La at (0.0000, 0.0000, 0.0000), Ag at (0.1571, 0.3429, 0.5000) and Pt at (0.1356, 0.6356, 0.0000).

7.
The following is a DFT calculation (PBE) of an optimized crystal structure of Re2TeMoBr.

The calculation puts the density at 9.8 g/cm3. For the formation energy from raw total energies, the calculation gives 1.79 eV per atom. As for the total energy: -6.319 eV/atom.

It has space group P4/mmm (No. 123), with a = 4.8714 Å, b = 4.8714 Å, c = 4.8338 Å, α = 90.00°, β = 90.00° and γ = 90.00°. The distinct sites, in fractional coordinates, are Re at (0.0000, 0.5000, 0.0000), Te at (0.0000, 0.0000, 0.5000), Mo at (0.5000, 0.5000, 0.0000) and Br at (0.5000, 0.5000, 0.5000).

8.
The following is a DFT calculation (PBE) of an optimized crystal structure of La2PrY2Mg.

The calculation puts the density at 4.4 g/cm3. The energy of formation from the pure elements comes out at 451 meV/atom. As for the total energy: -4.409 eV/atom.

It has space group Pnnm (No. 58), with a = 11.0601 Å, b = 11.7863 Å, c = 3.6181 Å, α = 90.00°, β = 90.00° and γ = 90.00°. The distinct sites, in fractional coordinates, are La at (0.2478, 0.0598, 0.0000), Pr at (0.0000, 0.5000, 0.0000), Y at (0.0673, 0.2644, 0.5000) and Mg at (0.0000, 0.0000, 0.5000).

9.
The following is a DFT calculation (PBE) of an optimized crystal structure of NaZnRu3.

The value obtained for the energy above the most stable polymorph in this dataset is 736.5 meV/atom. The calculation puts the density at 6.9 g/cm3. The energy of formation from the pure elements comes out at 2270 meV/atom. As for the total energy: -3.814 eV/atom.

It has space group Pm-3m (No. 221), with a = 4.5593 Å, b = 4.5593 Å, c = 4.5593 Å, α = 90.00°, β = 90.00° and γ = 90.00°. The distinct sites, in fractional coordinates, are Na at (0.0000, 0.0000, 0.0000), Zn at (0.5000, 0.5000, 0.5000) and Ru at (0.0000, 0.0000, 0.5000).

10.
The following is a DFT calculation (PBE) of an optimized crystal structure of Ac2IrPtO6.

The calculation puts the density at 10.7 g/cm3. For the formation energy from raw total energies, the calculation gives -1.97 eV per atom. As for the total energy: -7.256 eV/atom.

It has space group C2/m (No. 12), with a = 11.0226 Å, b = 5.4852 Å, c = 5.1034 Å, α = 90.00°, β = 109.26° and γ = 90.00°. The distinct sites, in fractional coordinates, are Ac at (0.2325, 0.0000, 0.2203), Ir at (0.0000, 0.5000, 0.0000), Pt at (0.0000, 0.0000, 0.5000), O at (0.0755, 0.2465, 0.8104) and O at (0.1923, 0.5000, 0.2659).

11.
The following is a DFT calculation (PBE) of an optimized crystal structure of Li4Au2F.

The calculation puts the density at 7.1 g/cm3. For the formation energy from raw total energies, the calculation gives -1.06 eV per atom. As for the total energy: -3.354 eV/atom.

It has space group I4/mmm (No. 139), with a = 3.9051 Å, b = 3.9051 Å, c = 13.6014 Å, α = 90.00°, β = 90.00° and γ = 90.00°. The distinct sites, in fractional coordinates, are Li at (0.0000, 0.0000, 0.1526), Li at (0.0000, 0.5000, 0.0000), Au at (0.0000, 0.0000, 0.3474) and F at (0.0000, 0.0000, 0.0000).

12.
The following is a DFT calculation (PBE) of an optimized crystal structure of K2Mg.

The value obtained for the energy above the most stable polymorph in this dataset is 25.2 meV/atom. The calculation puts the density at 1.0 g/cm3. The energy of formation from the pure elements comes out at 161 meV/atom. As for the total energy: -1.102 eV/atom.

It has space group Cmcm (No. 63), with a = 16.7126 Å, b = 6.8538 Å, c = 5.6778 Å, α = 90.00°, β = 90.00° and γ = 90.00°. The distinct sites, in fractional coordinates, are K at (0.1423, 0.2211, 0.2500) and Mg at (0.0000, 0.3784, 0.7500).

13.
The following is a DFT calculation (PBE) of an optimized crystal structure of TbVRu.

The calculation puts the density at 8.6 g/cm3. The energy of formation from the pure elements comes out at -216 meV/atom. As for the total energy: -7.891 eV/atom.

It has space group P4/nmm (No. 129, origin choice 2), with a = 4.2864 Å, b = 4.2864 Å, c = 6.5280 Å, α = 90.00°, β = 90.00° and γ = 90.00°. The distinct sites, in fractional coordinates, are Tb at (0.2500, 0.2500, 0.1539), V at (0.2500, 0.7500, 0.5000) and Ru at (0.2500, 0.2500, 0.6848).

14.
The following is a DFT calculation (PBE) of an optimized crystal structure of Ce4Te4H.

The calculation puts the density at 6.9 g/cm3. As for the total energy: -5.655 eV/atom.

It has space group P4_2/nmc (No. 137, origin choice 2), with a = 8.9764 Å, b = 8.9764 Å, c = 6.3724 Å, α = 90.00°, β = 90.00° and γ = 90.00°. The distinct sites, in fractional coordinates, are Ce at (0.0245, 0.7500, 0.0405), Te at (0.0196, 0.2500, 0.4586) and H at (0.2500, 0.7500, 0.2500).

15.
The following is a DFT calculation (PBE) of an optimized crystal structure of TmPaAl2.

The value obtained for the energy above the most stable polymorph in this dataset is 110.9 meV/atom. The calculation puts the density at 8.3 g/cm3. The energy of formation from the pure elements comes out at -135 meV/atom. As for the total energy: -5.498 eV/atom.

It has space group Fm-3m (No. 225), with a = 7.1387 Å, b = 7.1387 Å, c = 7.1387 Å, α = 90.00°, β = 90.00° and γ = 90.00°. The distinct sites, in fractional coordinates, are Tm at (0.0000, 0.0000, 0.0000), Pa at (0.0000, 0.0000, 0.5000) and Al at (0.2500, 0.2500, 0.2500).

16.
The following is a DFT calculation (PBE) of an optimized crystal structure of TlW5.

The value obtained for the energy above the most stable polymorph in this dataset is 0.0 meV/atom. The calculation puts the density at 18.2 g/cm3. The energy of formation from the pure elements comes out at 472 meV/atom. As for the total energy: -10.717 eV/atom.

It has space group C2/m (No. 12), with a = 10.1366 Å, b = 3.2139 Å, c = 6.6738 Å, α = 90.00°, β = 109.01° and γ = 90.00°. The distinct sites, in fractional coordinates, are Tl at (0.0000, 0.0000, 0.0000), W at (0.0000, 0.0000, 0.5000), W at (0.1704, 0.5000, 0.3495) and W at (0.1769, 0.5000, 0.8215).

17.
The following is a DFT calculation (PBE) of an optimized crystal structure of Ac3Tl2Pd3.

The calculation puts the density at 10.5 g/cm3. The energy of formation from the pure elements comes out at -537 meV/atom. As for the total energy: -4.617 eV/atom.

It has space group Immm (No. 71), with a = 3.8364 Å, b = 5.3860 Å, c = 21.4736 Å, α = 90.00°, β = 90.00° and γ = 90.00°. The distinct sites, in fractional coordinates, are Ac at (0.0000, 0.0000, 0.0000), Ac at (0.0000, 0.5000, 0.1248), Tl at (0.0000, 0.0000, 0.2301), Pd at (0.0000, 0.0000, 0.5000) and Pd at (0.0000, 0.5000, 0.3808).

18.
The following is a DFT calculation (PBE) of an optimized crystal structure of Tb2Pr3Dy6Tm.

The calculation puts the density at 8.0 g/cm3. The energy of formation from the pure elements comes out at 19 meV/atom. As for the total energy: -4.621 eV/atom.

It has space group C2/m (No. 12), with a = 6.2146 Å, b = 10.7601 Å, c = 11.8483 Å, α = 90.00°, β = 100.04° and γ = 90.00°. The distinct sites, in fractional coordinates, are Tb at (0.0000, 0.1665, 0.0000), Pr at (0.0000, 0.0000, 0.5000), Pr at (0.0000, 0.3334, 0.5000), Dy at (0.2484, 0.3335, 0.2453), Dy at (0.2490, 0.0000, 0.2454) and Tm at (0.0000, 0.5000, 0.0000).

19.
The following is a DFT calculation (PBE) of an optimized crystal structure of Nd2DyTm3Bi6.

The calculation puts the density at 9.5 g/cm3. The energy of formation from the pure elements comes out at -846 meV/atom. As for the total energy: -5.083 eV/atom.

It has space group C2/m (No. 12), with a = 19.6012 Å, b = 4.5023 Å, c = 8.9960 Å, α = 90.00°, β = 103.14° and γ = 90.00°. The distinct sites, in fractional coordinates, are Nd at (0.1658, 0.0000, 0.3326), Dy at (0.0000, 0.5000, 0.0000), Tm at (0.0000, 0.5000, 0.5000), Tm at (0.1681, 0.0000, 0.8340), Bi at (0.0036, 0.0000, 0.7498), Bi at (0.1642, 0.5000, 0.5901) and Bi at (0.1667, 0.5000, 0.0750).

20.
The following is a DFT calculation (PBE) of an optimized crystal structure of LaNdAsO.

The calculation puts the density at 6.5 g/cm3. For the formation energy from raw total energies, the calculation gives -1.93 eV per atom. As for the total energy: -6.758 eV/atom.

It has space group P4/nmm (No. 129, origin choice 2), with a = 4.4825 Å, b = 4.4825 Å, c = 9.5240 Å, α = 90.00°, β = 90.00° and γ = 90.00°. The distinct sites, in fractional coordinates, are La at (0.2500, 0.2500, 0.1062), Nd at (0.2500, 0.7500, 0.5000), As at (0.2500, 0.2500, 0.7055) and O at (0.2500, 0.7500, 0.0000).